# 1
LiNiHgSb | PBE | optimized geometry

Properties
electronic total energy	-3.114	eV per atom

Cell: 6.525 6.525 6.525 Å, 90.00 90.00 90.00°
Space group F-43m (No. 216)
Symmetry-distinct sites (fractional):
Li (0.000, 0.000, 0.000) x4
Ni (0.000, 0.000, 0.500) x4
Hg (0.250, 0.250, 0.750) x4
Sb (0.250, 0.250, 0.250) x4



# 2
Nb4PPbC2 | PBE | optimized geometry

Properties
electronic total energy	-9.012	eV per atom

Cell: 3.3032 3.3032 12.9662 Å, 90.00 90.00 120.00°
Space group P-6m2 (No. 187)
Symmetry-distinct sites (fractional):
Nb (0.0000, 0.0000, 0.1337) x2
Nb (0.6667, 0.3333, 0.3112) x2
P (0.6667, 0.3333, 0.0000) x1
Pb (0.0000, 0.0000, 0.5000) x1
C (0.3333, 0.6667, 0.2279) x2



# 3
YTcPt2 | PBE | optimized geometry

Properties
formation enthalpy at 0 K	-0.213	eV per atom

Cell: 6.563 6.563 6.563 Å, 90.00 90.00 90.00°
Space group F-43m (No. 216)
Symmetry-distinct sites (fractional):
Y (0.000, 0.000, 0.000) x4
Tc (0.250, 0.250, 0.750) x4
Pt (0.000, 0.000, 0.500) x4
Pt (0.250, 0.250, 0.250) x4



# 4
LuNiPt2 | PBE | optimized geometry

Properties
formation enthalpy at 0 K	-0.637	eV per atom

Cell: 6.406 6.406 6.406 Å, 90.00 90.00 90.00°
Space group F-43m (No. 216)
Symmetry-distinct sites (fractional):
Lu (0.000, 0.000, 0.000) x4
Ni (0.250, 0.250, 0.750) x4
Pt (0.000, 0.000, 0.500) x4
Pt (0.250, 0.250, 0.250) x4



# 5
Sc2BeOs | PBE | optimized geometry

Properties
electronic total energy	-6.947	eV per atom

Cell: 6.304 6.304 6.304 Å, 90.00 90.00 90.00°
Space group F-43m (No. 216)
Symmetry-distinct sites (fractional):
Sc (0.000, 0.000, 0.000) x4
Sc (0.250, 0.250, 0.250) x4
Be (0.000, 0.000, 0.500) x4
Os (0.250, 0.250, 0.750) x4



# 6
Ni3SnSe2S2 | PBE | optimized geometry

Properties
electronic total energy	-4.785	eV per atom

Cell: 12.058 5.411 5.421 Å, 90.00 116.43 90.00°
Space group C2 (No. 5)
Symmetry-distinct sites (fractional):
Ni (0.000, 0.000, 0.000) x2
Ni (0.250, 0.473, 0.224) x4
Sn (0.000, 0.461, 0.500) x2
Se (0.141, 0.757, 0.362) x4
S (0.138, 0.199, 0.916) x4



# 7
MgNbCuAs | PBE | optimized geometry

Properties
electronic total energy	-4.481	eV per atom

Cell: 6.528 6.528 6.528 Å, 90.00 90.00 90.00°
Space group F-43m (No. 216)
Symmetry-distinct sites (fractional):
Mg (0.000, 0.000, 0.000) x4
Nb (0.250, 0.250, 0.750) x4
Cu (0.000, 0.000, 0.500) x4
As (0.250, 0.250, 0.250) x4



# 8
Nd2AgPt | PBE | optimized geometry

Properties
formation enthalpy at 0 K	-0.719	eV per atom

Cell: 5.951 4.709 7.832 Å, 90.00 111.02 90.00°
Space group P2_1/m (No. 11)
Symmetry-distinct sites (fractional):
Nd (0.214, 0.250, 0.435) x2
Nd (0.238, 0.250, 0.923) x2
Ag (0.325, 0.750, 0.209) x2
Pt (0.335, 0.750, 0.707) x2